No. 1
PuHfZr (PBE, optimized geometry); density of states at the Fermi level = 2.22 states/eV/atom; M_tot = 5.37 μB/f.u.; space group = No. 12; relative energy among the computed polymorphs = 8 meV/atom; formation energy = 0.077 eV per atom
1.0
5.280 -1.574 0.000
5.280 1.574 0.000
-4.152 0.000 8.401
Pu Hf Zr
2 2 2
Direct
0.002 0.002 0.250
0.998 0.998 0.750
0.333 0.333 0.920
0.667 0.667 0.080
0.329 0.329 0.411
0.671 0.671 0.589

---

No. 2
Ba3NaTa (PBE, optimized geometry); density of states at the Fermi level = 1.53 states/eV/atom; M_tot = 0.00 μB/f.u.; space group = No. 221; relative energy among the computed polymorphs = 0 meV/atom; formation energy = 0.777 eV per atom
1.0
6.298 0.000 0.000
0.000 6.298 0.000
0.000 0.000 6.298
Ba Na Ta
3 1 1
Direct
0.000 0.000 0.500
0.000 0.500 0.000
0.500 0.000 0.000
0.500 0.500 0.500
0.000 0.000 0.000

---

No. 3
Sc2SbPt (PBE, optimized geometry); density of states at the Fermi level = 0.61 states/eV/atom; M_tot = 0.00 μB/f.u.; space group = No. 139; formation energy (no corrections) = -883 meV/atom
1.0
-2.202 2.202 4.086
2.202 -2.202 4.086
2.202 2.202 -4.086
Sc Sb Pt
2 1 1
Direct
0.250 0.750 0.500
0.750 0.250 0.500
0.000 0.000 0.000
0.500 0.500 0.000

---

No. 4
AcMgSiAu6 (PBE, optimized geometry); density of states at the Fermi level = 0.50 states/eV/atom; M_tot = 0.00 μB/f.u.; space group = No. 74; formation energy (no corrections) = -330 meV/atom
1.0
-3.642 4.514 5.870
3.642 -4.514 5.870
3.642 4.514 -5.870
Ac Mg Si Au
2 2 2 12
Direct
0.461 0.211 0.250
0.539 0.789 0.750
0.000 0.000 0.500
0.000 0.500 0.000
0.000 0.000 0.000
0.500 0.000 0.500
0.129 0.426 0.308
0.129 0.821 0.703
0.172 0.922 0.250
0.237 0.487 0.750
0.382 0.179 0.808
0.382 0.574 0.203
0.618 0.426 0.797
0.618 0.821 0.192
0.763 0.513 0.250
0.828 0.078 0.750
0.871 0.179 0.297
0.871 0.574 0.692

---

No. 5
BiSe2Br (PBE, optimized geometry); density of states at the Fermi level = 0.00 states/eV/atom; M_tot = 0.00 μB/f.u.; space group = No. 166; relative energy among the computed polymorphs = 0 meV/atom; formation energy (no corrections) = -191 meV/atom
1.0
2.217 1.280 8.242
-2.217 1.280 8.242
0.000 -2.559 8.242
Bi Se Br
1 2 1
Direct
0.000 0.000 0.000
0.395 0.395 0.395
0.605 0.605 0.605
0.500 0.500 0.500

---

No. 6
K3Rb3MgBr8 (PBE, optimized geometry); density of states at the Fermi level = 0.00 states/eV/atom; M_tot = 0.00 μB/f.u.; space group = No. 166; formation energy (no corrections) = -1688 meV/atom
1.0
4.806 2.775 7.643
-4.806 2.775 7.643
0.000 -5.549 7.643
K Rb Mg Br
3 3 1 8
Direct
0.000 0.500 0.500
0.500 0.000 0.500
0.500 0.500 0.000
0.000 0.000 0.500
0.000 0.500 0.000
0.500 0.000 0.000
0.500 0.500 0.500
0.254 0.254 0.254
0.295 0.295 0.699
0.295 0.699 0.295
0.301 0.705 0.705
0.699 0.295 0.295
0.705 0.301 0.705
0.705 0.705 0.301
0.746 0.746 0.746

---

No. 7
Mg2TeP (PBE, optimized geometry); density of states at the Fermi level = 0.24 states/eV/atom; M_tot = 0.00 μB/f.u.; space group = No. 160; relative energy among the computed polymorphs = 654 meV/atom; formation energy (no corrections) = 132 meV/atom
1.0
1.624 0.938 10.487
-1.624 0.938 10.487
0.000 -1.876 10.487
Mg Te P
2 1 1
Direct
0.000 0.000 0.000
0.251 0.251 0.251
0.508 0.508 0.508
0.725 0.725 0.725

---

No. 8
Dy3Tm12Tl (PBE, optimized geometry); density of states at the Fermi level = 1.19 states/eV/atom; M_tot = 0.00 μB/f.u.; space group = No. 123; formation energy = -0.020 eV per atom
1.0
4.895 0.000 0.000
0.000 4.895 0.000
0.000 0.000 19.842
Dy Tm Tl
3 12 1
Direct
0.000 0.000 0.000
0.000 0.000 0.251
0.000 0.000 0.749
0.000 0.500 0.126
0.000 0.500 0.378
0.000 0.500 0.622
0.000 0.500 0.874
0.500 0.000 0.126
0.500 0.000 0.378
0.500 0.000 0.622
0.500 0.000 0.874
0.500 0.500 0.000
0.500 0.500 0.256
0.500 0.500 0.500
0.500 0.500 0.744
0.000 0.000 0.500

---

Q: Which value of density of states at the Fermi level does entry 4 give?
A: 0.50 states/eV/atom

---

Q: What is the M_tot in the seventh record?
A: 0.00 μB/f.u.

---

Q: What is the formula in the sixth record?
A: K3Rb3MgBr8